No. 1
Below is crystalline TiBe at its relaxed geometry, with properties calculated at the PBE level.

Results
**Formation energy**: 0.105 eV/atom
**Energy relative to the lowest polymorph listed for this composition**: 0.251 eV per atom
**Total magnetization**: 0.00 μB per formula unit
**ρ**: 3.6 g/cm3

a = 7.0089 Å, b = 7.0089 Å, c = 4.3015 Å
α = 90.00°, β = 90.00°, γ = 90.00°
Space group I4/m (No. 87)
Inequivalent atoms, fractional coordinates:
Ti: 0.0346 0.3050 0.0000 [8 per cell]
Be: 0.1277 0.1680 0.5000 [8 per cell]

No. 2
Below is crystalline RbReSe2 at its relaxed geometry, with properties calculated at the PBE level.

Results
**Energy relative to the lowest polymorph listed for this composition**: 0.757 eV per atom
**Total magnetization**: 0.00 μB per formula unit
**ρ**: 7.9 g/cm3
**ΔE_f (raw)**: 533 meV per atom

a = 3.2037 Å, b = 3.2037 Å, c = 30.4863 Å
α = 90.00°, β = 90.00°, γ = 120.00°
Space group R-3m (No. 166, hexagonal axes)
Inequivalent atoms, fractional coordinates:
Rb: 0.0000 0.0000 0.0000 [3 per cell]
Re: 0.0000 0.0000 0.5000 [3 per cell]
Se: 0.0000 0.0000 0.4224 [6 per cell]

No. 3
Below is crystalline TbTl2Cu at its relaxed geometry, with properties calculated at the PBE level.

Results
**Formation energy**: -0.070 eV/atom
**Energy relative to the lowest polymorph listed for this composition**: 0.008 eV per atom
**Total magnetization**: 0.00 μB per formula unit
**ρ**: 10.9 g/cm3

a = 4.5943 Å, b = 4.5943 Å, c = 15.7377 Å
α = 90.00°, β = 90.00°, γ = 120.00°
Space group R-3m (No. 166, hexagonal axes)
Inequivalent atoms, fractional coordinates:
Tb: 0.0000 0.0000 0.0000 [3 per cell]
Tl: 0.0000 0.0000 0.2263 [6 per cell]
Cu: 0.0000 0.0000 0.5000 [3 per cell]

No. 4
Below is crystalline Nd2NiCl2 at its relaxed geometry, with properties calculated at the PBE level.

Results
**Total magnetization**: 0.00 μB per formula unit
**ρ**: 4.8 g/cm3
**ΔE_f (raw)**: -1292 meV per atom

a = 3.9938 Å, b = 3.9938 Å, c = 31.5920 Å
α = 90.00°, β = 90.00°, γ = 120.00°
Space group R-3m (No. 166, hexagonal axes)
Inequivalent atoms, fractional coordinates:
Nd: 0.0000 0.0000 0.1140 [6 per cell]
Ni: 0.0000 0.0000 0.5000 [3 per cell]
Cl: 0.0000 0.0000 0.2761 [6 per cell]